This record from the Alexandria database describes crystalline Ca4AsRh at its relaxed geometry. The functional is GGA-PBE.

abc: 8.590 8.590 8.590
angles: 90.00 90.00 90.00
Space group F-43m (No. 216)
Asymmetric unit:
Ca (0.125, 0.125, 0.125) [16 per cell]
As (0.000, 0.000, 0.500) [4 per cell]
Rh (0.250, 0.250, 0.750) [4 per cell]

## Properties
As for the formation energy from the elements: 0.434 eV/atom. As for the calculated density: 3.54 g cm⁻³. The density of states at the Fermi level comes out at 8.452 states/eV per cell.

---

This record from the Alexandria database describes crystalline Ca3As4Rh4 at its relaxed geometry. The functional is GGA-PBE.

abc: 4.132 7.187 13.587
angles: 90.00 90.00 90.00
Space group Immm (No. 71)
Asymmetric unit:
Ca (0.000, 0.000, 0.000) [2 per cell]
Ca (0.000, 0.500, 0.121) [4 per cell]
As (0.000, 0.000, 0.223) [4 per cell]
As (0.000, 0.196, 0.500) [4 per cell]
Rh (0.000, 0.302, 0.324) [8 per cell]

## Properties
As for the formation energy from the elements: -0.829 eV/atom. As for the calculated density: 6.84 g cm⁻³. The density of states at the Fermi level comes out at 15.088 states/eV per cell. For the energy relative to the lowest polymorph listed for this composition, the calculation gives 0.0 kJ/mol of atoms.

---

This record from the Alexandria database describes crystalline CaAs2Rh at its relaxed geometry. The functional is GGA-PBE.

abc: 4.034 4.034 9.136
angles: 90.00 90.00 90.00
Space group I-4m2 (No. 119)
Asymmetric unit:
Ca (0.000, 0.000, 0.000) [2 per cell]
As (0.000, 0.000, 0.500) [2 per cell]
As (0.000, 0.500, 0.250) [2 per cell]
Rh (0.000, 0.500, 0.750) [2 per cell]

## Properties
As for the formation energy from the elements: -0.331 eV/atom. As for the calculated density: 6.54 g cm⁻³. The density of states at the Fermi level comes out at 5.035 states/eV per cell.

---

This record from the Alexandria database describes crystalline CaAs2Rh5 at its relaxed geometry. The functional is GGA-PBE.

abc: 3.918 7.068 9.694
angles: 90.00 90.00 90.00
Space group Immm (No. 71)
Asymmetric unit:
Ca (0.000, 0.000, 0.000) [2 per cell]
As (0.000, 0.500, 0.246) [4 per cell]
Rh (0.000, 0.196, 0.353) [8 per cell]
Rh (0.000, 0.500, 0.000) [2 per cell]

## Properties
As for the formation energy from the elements: -0.520 eV/atom. As for the calculated density: 8.71 g cm⁻³. The density of states at the Fermi level comes out at 12.001 states/eV per cell.

---

This record from the Alexandria database describes crystalline Ca2AsRh3 at its relaxed geometry. The functional is GGA-PBE.

abc: 5.5689 5.5689 12.0428
angles: 90.00 90.00 120.00
Space group R-3m (No. 166, hexagonal axes)
Asymmetric unit:
Ca (0.0000, 0.0000, 0.1272) [6 per cell]
As (0.0000, 0.0000, 0.5000) [3 per cell]
Rh (0.0000, 0.5000, 0.0000) [9 per cell]

## Properties
As for the formation energy from the elements: -0.681 eV/atom. As for the calculated density: 7.14 g cm⁻³. The density of states at the Fermi level comes out at 7.740 states/eV per cell.

---

This record from the Alexandria database describes crystalline Ca2AsRh at its relaxed geometry. The functional is GGA-PBE.

abc: 3.6239 3.6239 24.7724
angles: 90.00 90.00 120.00
Space group R-3m (No. 166, hexagonal axes)
Asymmetric unit:
Ca (0.0000, 0.0000, 0.2472) [6 per cell]
As (0.0000, 0.0000, 0.0000) [3 per cell]
Rh (0.0000, 0.0000, 0.5000) [3 per cell]

## Properties
As for the formation energy from the elements: -0.374 eV/atom. As for the calculated density: 4.56 g cm⁻³. The density of states at the Fermi level comes out at 4.959 states/eV per cell.